Computed, not measured: a geometry-optimized Nd6Pd2Au structure at the PBE level of DFT.

Summary:
Its calculated total energy is -5.205 eV per atom. As for the energy of formation from the pure elements: -0.5081 eV per atom.

a b c (Å): 9.6858 10.1227 10.4876
angles (deg): 90.00 90.00 90.00
Last column: nearest neighbours and their distance in Å.
Space group Immm (No. 71)
Asymmetric unit:
Nd1 0.0000 0.1891 0.2401  1 Pd 2.99, 2 Au 3.16-3.33
Nd2 0.2013 0.5000 0.1696  3 Pd 2.85-3.05
Nd3 0.2183 0.3236 0.5000  3 Pd 3.09-3.23, 1 Au 3.26
Pd1 0.0000 0.3481 0.0000  8 Nd 2.99-3.23, 1 Pd 3.08
Pd2 0.0000 0.5000 0.3684  1 Pd 2.76, 2 Nd 2.85
Au1 0.0000 0.0000 0.0000  8 Nd 3.16-3.26, 2 Pd 3.52
Au2 0.0000 0.0000 0.5000  8 Nd 3.33-3.40